[1]
The following is a DFT calculation (GGA+U) of crystalline BeMo3O at its relaxed geometry.

Final energy = -5.269 eV/atom
Magnetic moment = 0.0 μB/cell

Cell: 4.0952 4.0952 4.0952 Å, 90.00 90.00 90.00°
Closest atoms and distances in Å follow each position.
Atoms (fractional coordinates):
Mo (0.0000, 0.5000, 0.0000)  2 O 2.05
Mo (0.5000, 0.0000, 0.0000)  2 O 2.05
Be (0.5000, 0.5000, 0.5000)  12 Mo 2.90
Mo (0.0000, 0.0000, 0.5000)  2 O 2.05
O (0.0000, 0.0000, 0.0000)  6 Mo 2.05

[2]
The following is a DFT calculation (GGA+U) of crystalline BeMo2O2 at its relaxed geometry.

Final energy = -5.291 eV/atom
Magnetic moment = 0.0 μB/cell

Cell: 6.4497 6.4497 2.6152 Å, 90.00 90.00 90.00°
Closest atoms and distances in Å follow each position.
Atoms (fractional coordinates):
Be (0.5000, 0.5000, 0.0000)  4 Mo 2.38, 2 Be 2.62
O (0.1252, 0.6252, 0.5000)  6 Mo 2.24-2.36, 1 O 2.28
Mo (0.1748, 0.3252, 0.0000)  6 O 2.24-2.36, 2 Be 2.38
Mo (0.8252, 0.6748, 0.0000)  6 O 2.24-2.36, 2 Be 2.38
O (0.8748, 0.3748, 0.5000)  6 Mo 2.24-2.36, 1 O 2.28
O (0.3748, 0.1252, 0.5000)  6 Mo 2.24-2.36, 1 O 2.28
Be (0.0000, 0.0000, 0.0000)  4 Mo 2.38, 2 Be 2.62
O (0.6252, 0.8748, 0.5000)  6 Mo 2.24-2.36, 1 O 2.28
Mo (0.6748, 0.1748, 0.0000)  6 O 2.24-2.36, 2 Be 2.38
Mo (0.3252, 0.8252, 0.0000)  6 O 2.24-2.36, 2 Be 2.38

[3]
The following is a DFT calculation (GGA+U) of crystalline BeMo2O2 at its relaxed geometry.

Final energy = -5.802 eV/atom
Magnetic moment = 0.0 μB/cell

Cell: 3.4294 3.4294 5.6331 Å, 72.28 72.28 90.00°
Closest atoms and distances in Å follow each position.
Atoms (fractional coordinates):
Mo (0.6280, 0.6280, 0.7441)  4 O 2.12
O (0.7500, 0.2500, 0.5000)  4 Mo 2.12
O (0.2500, 0.7500, 0.5000)  4 Mo 2.12
Be (0.0000, 0.0000, 0.0000)  8 Mo 2.75, 8 O 3.07
Mo (0.3720, 0.3720, 0.2559)  4 O 2.12

[4]
The following is a DFT calculation (GGA+U) of crystalline Be3MoO at its relaxed geometry.

Final energy = -4.611 eV/atom
Magnetic moment = 2.0 μB/cell

Cell: 3.6797 3.6797 3.6797 Å, 90.00 90.00 90.00°
Closest atoms and distances in Å follow each position.
Atoms (fractional coordinates):
Be (0.5000, 0.0000, 0.0000)  2 O 1.84
Be (0.0000, 0.0000, 0.5000)  2 O 1.84
O (0.0000, 0.0000, 0.0000)  6 Be 1.84
Be (0.0000, 0.5000, 0.0000)  2 O 1.84
Mo (0.5000, 0.5000, 0.5000)  12 Be 2.60